(1)
Here is an optimized crystal structure of AlCdPtAu from Alexandria. Energies are from PBE.

Cell and atoms, written as POSCAR:
```
AlCdPtAu
1.0
4.5879 0.0000 0.0000
2.2939 3.9732 0.0000
2.2939 1.3244 3.7460
Al Au Pt Cd
1 1 1 1
Direct
0.5000 0.5000 0.5000 Al
0.7500 0.7500 0.7500 Au
0.2500 0.2500 0.2500 Pt
0.0000 0.0000 0.0000 Cd
```

(2)
CeI2O6 | Alexandria | PBE | relaxed; formation energy (no corrections) = -1.2438 eV per atom; ΔE to the lowest computed polymorph = 0.000 eV per atom
1.0
-9.5691 5.9812 2.3931
-0.4502 -3.2366 6.2893
3.5927 2.6163 7.8268
O I Ce
24 8 4
Direct
0.1084 0.4090 0.5465 O
0.4950 0.5393 0.2808 O
0.7255 0.9385 0.3827 O
0.6084 0.5910 0.9535 O
0.7426 0.3697 0.8044 O
0.2426 0.6303 0.6956 O
0.3916 0.4090 0.0465 O
0.9950 0.4607 0.2192 O
0.7745 0.9385 0.8827 O
0.4208 0.9344 0.9188 O
0.9208 0.0656 0.5812 O
0.2574 0.6303 0.1956 O
0.4457 0.9366 0.4145 O
0.5543 0.0634 0.5855 O
0.5050 0.4607 0.7192 O
0.7574 0.3697 0.3044 O
0.0050 0.5393 0.7808 O
0.0543 0.9366 0.9145 O
0.0792 0.9344 0.4188 O
0.5792 0.0656 0.0812 O
0.9457 0.0634 0.0855 O
0.8916 0.5910 0.4535 O
0.2255 0.0615 0.1173 O
0.2745 0.0615 0.6173 O
0.1069 0.7903 0.6722 I
0.7421 0.7027 0.3423 I
0.2579 0.2973 0.6577 I
0.2421 0.2973 0.1577 I
0.6069 0.2097 0.8278 I
0.7579 0.7027 0.8423 I
0.3931 0.7903 0.1722 I
0.8931 0.2097 0.3278 I
0.5631 0.2157 0.2834 Ce
0.4369 0.7843 0.7166 Ce
0.0631 0.7843 0.2166 Ce
0.9369 0.2157 0.7834 Ce

(3)
AlCrTe2 | Alexandria | PBE | relaxed; formation energy (no corrections) = 0.0822 eV per atom
1.0
-0.8716 2.3131 2.2576
-3.1426 -1.1532 -0.0317
1.7891 -5.0361 5.8506
Cr Al Te
1 1 2
Direct
0.5000 0.5000 0.7015 Cr
0.0000 0.0000 0.5498 Al
0.0000 0.0000 0.8978 Te
0.5000 0.5000 0.3508 Te

(4)
LiNdCo | Alexandria | PBE | relaxed; ΔE to the lowest computed polymorph = 0.015 eV per atom
1.0
-3.4911 0.4986 -1.6758
-3.2572 -0.6515 2.0477
-1.3008 11.5066 1.5877
Nd Co Li
2 2 2
Direct
0.0554 0.2433 0.4570 Nd
0.2759 0.1328 0.1246 Nd
0.8325 0.8546 0.2903 Co
0.4989 0.5215 0.2913 Co
0.5575 0.9921 0.7035 Li
0.7731 0.3840 0.8780 Li

(5)
Here is an optimized crystal structure of Tl3Pd12Pt from Alexandria. Energies are from PBE.

Cell and atoms, written as POSCAR:
```
Tl3Pd12Pt
1.0
-0.2131 -2.8858 2.8175
-0.5768 -2.7706 -2.8814
16.0833 -2.2337 -1.0715
Pd Tl Pt
12 3 1
Direct
0.0000 0.5000 0.6279 Pd
0.0000 0.5000 0.8813 Pd
0.5000 0.0000 0.3721 Pd
0.5000 0.0000 0.1187 Pd
0.0000 0.5000 0.3721 Pd
0.5000 0.5000 0.2441 Pd
0.5000 0.0000 0.6279 Pd
0.5000 0.5000 0.5000 Pd
0.0000 0.5000 0.1187 Pd
0.5000 0.5000 0.0000 Pd
0.5000 0.5000 0.7559 Pd
0.5000 0.0000 0.8813 Pd
0.0000 0.0000 0.5000 Tl
0.0000 0.0000 0.7538 Tl
0.0000 0.0000 0.2462 Tl
0.0000 0.0000 0.0000 Pt
```

(6)
LiNd2Zr | Alexandria | PBE | relaxed; ΔE to the lowest computed polymorph = 0.000 eV per atom
1.0
-2.9782 1.6856 0.5309
-0.9097 -0.5704 -3.2924
-4.1573 -8.1517 2.5609
Nd Zr Li
2 1 1
Direct
0.0000 0.0000 0.7454 Nd
0.0000 0.0000 0.2546 Nd
0.5000 0.5000 0.5000 Zr
0.5000 0.5000 0.0000 Li

Number 1: calculated total energy -3.8623 eV per atom. Number 2: calculated total energy -5.5531 eV per atom. Number 3: calculated total energy -4.8301 eV per atom. Number 4: calculated total energy -4.6047 eV per atom. Number 5: calculated total energy -4.8597 eV per atom. Number 6: calculated total energy -4.8938 eV per atom.